# CsHfMo2Pd

A relaxed CsHfMo2Pd crystal (PBE-GGA, Alexandria via LeMat-Bulk).

POSCAR file:
```
CsHfMo2Pd
1.0
-3.068 -3.388 1.785
0.889 -3.108 -4.370
3.745 -2.175 2.308
Cs Mo Hf Pd
1 2 1 1
direct
0.000 0.500 0.000
0.000 0.000 0.500
0.500 0.000 0.000
0.500 0.500 0.500
0.000 0.000 0.000
```

**Calculated formation energy**: 2215 meV per atom

---

# Cs2HfN

A relaxed Cs2HfN crystal (PBE-GGA, Alexandria via LeMat-Bulk).

POSCAR file:
```
Cs2HfN
1.0
0.000 4.225 4.225
4.225 0.000 4.225
4.225 4.225 0.000
Cs Hf N
2 1 1
direct
0.250 0.250 0.250
0.750 0.750 0.750
0.500 0.500 0.500
0.000 0.000 0.000
```

**Total energy**: -11.792 eV per cell